Record 1
The following is a DFT calculation (PBE-GGA) of an optimized crystal structure of Cs3Li2ErCl9.

Calculated values
Its space-group type is P-3m1. The uncorrected formation energy comes out at -1873 meV per atom.

Lattice parameters (Å, degrees): 7.401 7.401 9.246 90.00 90.00 120.00
Last column: magnetic moment on the atom in μB.
Fractional positions:
Cl (0.000, 0.500, 0.000)  0.20
Cl (0.333, 0.166, 0.665)  0.02
Cl (0.500, 0.500, 0.000)  0.20
Cl (0.667, 0.834, 0.335)  0.02
Cl (0.834, 0.667, 0.665)  0.02
Cl (0.166, 0.834, 0.335)  0.02
Cl (0.500, 0.000, 0.000)  0.20
Cl (0.166, 0.333, 0.335)  0.02
Cl (0.834, 0.166, 0.665)  0.02
Er (0.000, 0.000, 0.500)  0.00
Li (0.667, 0.333, 0.848)  0.00
Li (0.333, 0.667, 0.152)  0.00
Cs (0.667, 0.333, 0.327)  0.00
Cs (0.000, 0.000, 0.000)  0.00
Cs (0.333, 0.667, 0.673)  0.00



Record 2
The following is a DFT calculation (PBE-GGA) of an optimized crystal structure of SmDyTcHg.

Calculated values
For the energy relative to the elements, the calculation gives -113 meV/atom. Its space-group type is F-43m.

Lattice parameters (Å, degrees): 5.088 5.088 5.088 60.00 60.00 60.00
Fractional positions:
Sm (0.250, 0.250, 0.250)
Hg (0.500, 0.500, 0.500)
Dy (0.750, 0.750, 0.750)
Tc (0.000, 0.000, 0.000)



Record 3
The following is a DFT calculation (PBE-GGA) of an optimized crystal structure of HfTaAl2Ga.

Calculated values
For the energy relative to the elements, the calculation gives 837 meV/atom. Its space-group type is P4/mmm.

Lattice parameters (Å, degrees): 4.861 4.857 4.861 90.00 90.00 90.00
Fractional positions:
Al (0.500, 0.000, 0.000)
Al (0.000, 0.000, 0.500)
Ga (0.000, 0.500, 0.000)
Hf (0.500, 0.500, 0.500)
Ta (0.000, 0.000, 0.000)



Record 4
The following is a DFT calculation (PBE-GGA) of an optimized crystal structure of ScIrSN2.

Calculated values
As for the energy relative to the lowest polymorph listed for this composition: 0.0 kJ/mol of atoms. Its space-group type is P4/mmm. The uncorrected formation energy comes out at 170 meV per atom.

Lattice parameters (Å, degrees): 3.797 3.797 5.167 90.00 90.00 90.00
Fractional positions:
N (0.500, 0.000, 0.000)
N (0.000, 0.500, 0.000)
S (0.000, 0.000, 0.500)
Ir (0.000, 0.000, 0.000)
Sc (0.500, 0.500, 0.500)



Record 5
The following is a DFT calculation (PBE-GGA) of an optimized crystal structure of LaTa3V.

Calculated values
As for the energy relative to the lowest polymorph listed for this composition: 0.0 kJ/mol of atoms. For the energy relative to the elements, the calculation gives 847 meV/atom. Its space-group type is Pm-3m.

Lattice parameters (Å, degrees): 4.828 4.828 4.828 90.00 90.00 90.00
Fractional positions:
V (0.000, 0.000, 0.000)
Ta (0.000, 0.500, 0.000)
Ta (0.500, 0.000, 0.000)
Ta (0.000, 0.000, 0.500)
La (0.500, 0.500, 0.500)



| no. | size of the total moment (μB/atom) |
| --- | --- |
| 1 | 0.066 |
| 2 | 0.000 |
| 3 | 0.000 |
| 4 | 0.000 |
| 5 | 0.000 |